Record 1
KLaSe2N: optimized geometry, PBE-GGA.

The value obtained for the electronic total energy is -19.5 eV/cell. Its distance to the lowest polymorph of the same formula is 764 meV per atom. As for the formation energy from raw total energies: 364 meV/atom.

a = 5.5941 Å, b = 5.5941 Å, c = 4.5907 Å
α = 90.00°, β = 90.00°, γ = 90.00°
Fractional positions:
K1 0.0000 0.0000 0.0000
N1 0.0000 0.0000 0.5000
Se1 0.0000 0.5000 0.0000
Se2 0.5000 0.0000 0.0000
La1 0.5000 0.5000 0.5000

Record 2
Ce3S3O: optimized geometry, PBE-GGA.

The value obtained for the electronic total energy is -49.6 eV/cell. As for the formation energy from raw total energies: -2067 meV/atom.

a = 5.9785 Å, b = 5.9785 Å, c = 5.9785 Å
α = 110.26°, β = 110.26°, γ = 110.26°
Fractional positions:
Ce1 0.6314 0.0234 0.0234
Ce2 0.0234 0.0234 0.6314
Ce3 0.0234 0.6314 0.0234
S1 0.5438 0.5438 0.1032
S2 0.5438 0.1032 0.5438
S3 0.1032 0.5438 0.5438
O1 0.9304 0.9304 0.9304

Record 3
Na3N4Cl: optimized geometry, PBE-GGA.

The value obtained for the electronic total energy is -42.4 eV/cell. As for the formation energy from raw total energies: -417 meV/atom.

a = 3.8524 Å, b = 6.7087 Å, c = 8.6231 Å
α = 58.63°, β = 63.33°, γ = 54.94°
Fractional positions:
Na1 0.3595 0.8595 0.2798
Na2 0.6405 0.1405 0.7202
Na3 0.5000 0.5000 0.0000
Cl1 0.0000 0.0000 0.0000
N1 0.8828 0.3821 0.2341
N2 0.1172 0.6179 0.7659
N3 0.7993 0.2999 0.3992
N4 0.2007 0.7001 0.6008

Record 4
Cr2CuSi: optimized geometry, PBE-GGA.

The value obtained for the electronic total energy is -28.6 eV/cell. As for the formation energy from raw total energies: 35 meV/atom.

a = 4.0828 Å, b = 4.0828 Å, c = 4.0828 Å
α = 60.00°, β = 60.00°, γ = 60.00°
Fractional positions:
Cr1 0.0000 0.0000 0.0000
Cr2 0.2500 0.2500 0.2500
Cu1 0.5000 0.5000 0.5000
Si1 0.7500 0.7500 0.7500

Record 5
Ba2LaSi: optimized geometry, PBE-GGA.

The value obtained for the electronic total energy is -13.4 eV/cell. As for the formation energy from raw total energies: 192 meV/atom.

a = 12.1344 Å, b = 12.1344 Å, c = 12.1344 Å
α = 19.25°, β = 19.25°, γ = 19.25°
Fractional positions:
Ba1 0.0200 0.0200 0.0200
Ba2 0.4800 0.4800 0.4800
La1 0.2500 0.2500 0.2500
Si1 0.7500 0.7500 0.7500

Record 6
NbFe2Cu: optimized geometry, PBE-GGA.

The value obtained for the electronic total energy is -30.6 eV/cell. Its distance to the lowest polymorph of the same formula is 77 meV per atom. The formation energy from the elements comes out at 0.119 eV/atom.

a = 4.1741 Å, b = 4.1741 Å, c = 4.1741 Å
α = 60.00°, β = 60.00°, γ = 60.00°
Fractional positions:
Nb1 0.5000 0.5000 0.5000
Fe1 0.2500 0.2500 0.2500
Fe2 0.7500 0.7500 0.7500
Cu1 0.0000 0.0000 0.0000

Record 7
Na2LiAg2: optimized geometry, PBE-GGA.

The value obtained for the electronic total energy is -20.6 eV/cell. Its distance to the lowest polymorph of the same formula is 55 meV per atom. The formation energy from the elements comes out at -0.012 eV/atom.

a = 7.0165 Å, b = 7.0165 Å, c = 4.7638 Å
α = 90.00°, β = 90.00°, γ = 90.00°
Fractional positions:
Na1 0.1674 0.6674 0.5000
Na2 0.6674 0.8326 0.5000
Na3 0.8326 0.3326 0.5000
Na4 0.3326 0.1674 0.5000
Ag1 0.3604 0.8604 0.0000
Ag2 0.8604 0.6396 0.0000
Ag3 0.6396 0.1396 0.0000
Ag4 0.1396 0.3604 0.0000
Li1 0.0000 0.0000 0.0000
Li2 0.5000 0.5000 0.0000

Record 8
CaLaZn: optimized geometry, PBE-GGA.

The value obtained for the electronic total energy is -33.1 eV/cell. Its distance to the lowest polymorph of the same formula is 154 meV per atom. The formation energy from the elements comes out at -0.022 eV/atom.

a = 5.1886 Å, b = 7.4002 Å, c = 10.3161 Å
α = 90.00°, β = 90.00°, γ = 90.00°
Fractional positions:
Ca1 0.7500 0.9972 0.1231
Ca2 0.2500 0.4972 0.3769
Ca3 0.2500 0.0028 0.8769
Ca4 0.7500 0.5028 0.6231
Zn1 0.7500 0.7512 0.3718
Zn2 0.2500 0.2512 0.1282
Zn3 0.2500 0.2488 0.6282
Zn4 0.7500 0.7488 0.8718
La1 0.7500 0.4964 0.1182
La2 0.2500 0.9964 0.3818
La3 0.2500 0.5036 0.8818
La4 0.7500 0.0036 0.6182